# Si2AgOs | Alexandria via LeMat-Bulk | PBE | optimized geometry
# Polymorph energy (0 for the lowest one) ... 68 meV per atom
# Raw formation energy ... 0.10 eV/atom
data_Si2AgOs
_cell_length_a 4.256
_cell_length_b 4.256
_cell_length_c 5.218
_cell_angle_alpha 81.92
_cell_angle_beta 81.92
_cell_angle_gamma 41.58
_space_group_name_H-M_alt 'P 1'
_space_group_IT_number 1
loop_
_space_group_symop_operation_xyz
'x,y,z'
loop_
_atom_site_label
_atom_site_type_symbol
_atom_site_fract_x
_atom_site_fract_y
_atom_site_fract_z
_atom_site_occupancy
Ag1 Ag 0.750 0.750 0.750 1
Os1 Os 0.250 0.250 0.250 1
Si1 Si 0.983 0.983 0.056 1
Si2 Si 0.517 0.517 0.444 1

***

# LaTiTe3 | Alexandria via LeMat-Bulk | PBE | optimized geometry
# Polymorph energy (0 for the lowest one) ... 1345 meV per atom
# Raw formation energy ... 0.22 eV/atom
data_LaTiTe3
_cell_length_a 6.083
_cell_length_b 6.083
_cell_length_c 6.083
_cell_angle_alpha 90.00
_cell_angle_beta 90.00
_cell_angle_gamma 90.00
_space_group_name_H-M_alt 'P 1'
_space_group_IT_number 1
loop_
_space_group_symop_operation_xyz
'x,y,z'
loop_
_atom_site_label
_atom_site_type_symbol
_atom_site_fract_x
_atom_site_fract_y
_atom_site_fract_z
_atom_site_occupancy
Te1 Te 0.000 0.500 0.000 1
Te2 Te 0.000 0.000 0.500 1
Te3 Te 0.500 0.000 0.000 1
Ti1 Ti 0.500 0.500 0.500 1
La1 La 0.000 0.000 0.000 1

***

# PmPaIrOs | Alexandria via LeMat-Bulk | PBE | optimized geometry
# E_form ... -318 meV/atom
data_PmPaIrOs
_cell_length_a 4.920
_cell_length_b 4.920
_cell_length_c 4.920
_cell_angle_alpha 60.00
_cell_angle_beta 60.00
_cell_angle_gamma 60.00
_space_group_name_H-M_alt 'P 1'
_space_group_IT_number 1
loop_
_space_group_symop_operation_xyz
'x,y,z'
loop_
_atom_site_label
_atom_site_type_symbol
_atom_site_fract_x
_atom_site_fract_y
_atom_site_fract_z
_atom_site_occupancy
Pm1 Pm 0.250 0.250 0.250 1
Pa1 Pa 0.750 0.750 0.750 1
Os1 Os 0.500 0.500 0.500 1
Ir1 Ir 0.000 0.000 0.000 1

***

# CaPr5Ho | Alexandria via LeMat-Bulk | PBE | optimized geometry
# E_form ... 121 meV/atom
data_CaPr5Ho
_cell_length_a 10.147
_cell_length_b 6.746
_cell_length_c 12.375
_cell_angle_alpha 73.98
_cell_angle_beta 90.00
_cell_angle_gamma 138.77
_space_group_name_H-M_alt 'P 1'
_space_group_IT_number 1
loop_
_space_group_symop_operation_xyz
'x,y,z'
loop_
_atom_site_label
_atom_site_type_symbol
_atom_site_fract_x
_atom_site_fract_y
_atom_site_fract_z
_atom_site_occupancy
Ca1 Ca 0.497 0.000 0.250 1
Ca2 Ca 0.503 0.000 0.750 1
Pr1 Pr 0.023 0.412 0.161 1
Pr2 Pr 0.770 0.226 0.463 1
Pr3 Pr 0.389 0.412 0.661 1
Pr4 Pr 0.146 0.000 0.250 1
Pr5 Pr 0.545 0.774 0.037 1
Pr6 Pr 0.455 0.226 0.963 1
Pr7 Pr 0.854 0.000 0.750 1
Pr8 Pr 0.611 0.588 0.339 1
Pr9 Pr 0.230 0.774 0.537 1
Pr10 Pr 0.977 0.588 0.839 1
Ho1 Ho 0.000 0.000 0.000 1
Ho2 Ho 0.000 0.000 0.500 1

***

# MgTe2Cl | Alexandria via LeMat-Bulk | PBE | optimized geometry
# Polymorph energy (0 for the lowest one) ... 590 meV per atom
# Raw formation energy ... -0.14 eV/atom
data_MgTe2Cl
_cell_length_a 9.421
_cell_length_b 9.421
_cell_length_c 9.421
_cell_angle_alpha 22.08
_cell_angle_beta 22.08
_cell_angle_gamma 22.08
_space_group_name_H-M_alt 'P 1'
_space_group_IT_number 1
loop_
_space_group_symop_operation_xyz
'x,y,z'
loop_
_atom_site_label
_atom_site_type_symbol
_atom_site_fract_x
_atom_site_fract_y
_atom_site_fract_z
_atom_site_occupancy
Cl1 Cl 0.250 0.250 0.250 1
Mg1 Mg 0.750 0.750 0.750 1
Te1 Te 0.006 0.006 0.006 1
Te2 Te 0.494 0.494 0.494 1

***

# MnCuS2 | Alexandria via LeMat-Bulk | PBE | optimized geometry
# Raw formation energy ... -0.22 eV/atom
data_MnCuS2
_cell_length_a 6.410
_cell_length_b 7.599
_cell_length_c 7.599
_cell_angle_alpha 51.70
_cell_angle_beta 112.09
_cell_angle_gamma 67.91
_space_group_name_H-M_alt 'P 1'
_space_group_IT_number 1
loop_
_space_group_symop_operation_xyz
'x,y,z'
loop_
_atom_site_label
_atom_site_type_symbol
_atom_site_fract_x
_atom_site_fract_y
_atom_site_fract_z
_atom_site_occupancy
S1 S 0.098 0.277 0.968 1
S2 S 0.402 0.468 0.777 1
S3 S 0.902 0.723 0.032 1
S4 S 0.598 0.532 0.223 1
Mn1 Mn 0.750 0.858 0.358 1
Mn2 Mn 0.250 0.142 0.642 1
Cu1 Cu 0.750 0.490 0.990 1
Cu2 Cu 0.250 0.510 0.010 1

***

# TmScPt4 | Alexandria via LeMat-Bulk | PBE | optimized geometry
# Polymorph energy (0 for the lowest one) ... 329 meV per atom
# E_form ... -718 meV/atom
data_TmScPt4
_cell_length_a 4.867
_cell_length_b 4.867
_cell_length_c 5.408
_cell_angle_alpha 89.99
_cell_angle_beta 89.99
_cell_angle_gamma 90.01
_space_group_name_H-M_alt 'P 1'
_space_group_IT_number 1
loop_
_space_group_symop_operation_xyz
'x,y,z'
loop_
_atom_site_label
_atom_site_type_symbol
_atom_site_fract_x
_atom_site_fract_y
_atom_site_fract_z
_atom_site_occupancy
Tm1 Tm 0.501 0.497 0.998 1
Sc1 Sc 0.001 0.997 0.498 1
Pt1 Pt 0.501 0.997 0.251 1
Pt2 Pt 0.501 0.997 0.745 1
Pt3 Pt 0.001 0.497 0.745 1
Pt4 Pt 0.001 0.497 0.252 1

***

# ZrTeCl2 | Alexandria via LeMat-Bulk | PBE | optimized geometry
# Polymorph energy (0 for the lowest one) ... 1052 meV per atom
# Raw formation energy ... -0.30 eV/atom
data_ZrTeCl2
_cell_length_a 4.918
_cell_length_b 4.309
_cell_length_c 4.309
_cell_angle_alpha 90.00
_cell_angle_beta 90.00
_cell_angle_gamma 90.00
_space_group_name_H-M_alt 'P 1'
_space_group_IT_number 1
loop_
_space_group_symop_operation_xyz
'x,y,z'
loop_
_atom_site_label
_atom_site_type_symbol
_atom_site_fract_x
_atom_site_fract_y
_atom_site_fract_z
_atom_site_occupancy
Te1 Te 0.500 0.500 0.000 1
Zr1 Zr 0.500 0.000 0.500 1
Cl1 Cl 0.000 0.000 0.000 1
Cl2 Cl 0.000 0.500 0.500 1

***

# Re2TeI | Alexandria via LeMat-Bulk | PBE | optimized geometry
# Polymorph energy (0 for the lowest one) ... 145 meV per atom
# Raw formation energy ... 1.46 eV/atom
data_Re2TeI
_cell_length_a 5.947
_cell_length_b 5.947
_cell_length_c 7.281
_cell_angle_alpha 65.90
_cell_angle_beta 65.90
_cell_angle_gamma 90.00
_space_group_name_H-M_alt 'P 1'
_space_group_IT_number 1
loop_
_space_group_symop_operation_xyz
'x,y,z'
loop_
_atom_site_label
_atom_site_type_symbol
_atom_site_fract_x
_atom_site_fract_y
_atom_site_fract_z
_atom_site_occupancy
I1 I 0.000 0.000 0.000 1
I2 I 0.750 0.250 0.500 1
Re1 Re 0.627 0.125 0.250 1
Re2 Re 0.123 0.625 0.250 1
Re3 Re 0.375 0.373 0.750 1
Re4 Re 0.875 0.877 0.750 1
Te1 Te 0.500 0.500 0.000 1
Te2 Te 0.250 0.750 0.500 1

***

# ZrIrBr2 | Alexandria via LeMat-Bulk | PBE | optimized geometry
# Polymorph energy (0 for the lowest one) ... 1145 meV per atom
# Raw formation energy ... 0.61 eV/atom
data_ZrIrBr2
_cell_length_a 8.750
_cell_length_b 8.750
_cell_length_c 8.750
_cell_angle_alpha 23.43
_cell_angle_beta 23.43
_cell_angle_gamma 23.43
_space_group_name_H-M_alt 'P 1'
_space_group_IT_number 1
loop_
_space_group_symop_operation_xyz
'x,y,z'
loop_
_atom_site_label
_atom_site_type_symbol
_atom_site_fract_x
_atom_site_fract_y
_atom_site_fract_z
_atom_site_occupancy
Ir1 Ir 0.500 0.500 0.500 1
Br1 Br 0.895 0.895 0.895 1
Br2 Br 0.105 0.105 0.105 1
Zr1 Zr 0.000 0.000 0.000 1

***

# GdDyAgAu | Alexandria via LeMat-Bulk | PBE | optimized geometry
# E_form ... -578 meV/atom
data_GdDyAgAu
_cell_length_a 5.136
_cell_length_b 5.136
_cell_length_c 5.136
_cell_angle_alpha 60.00
_cell_angle_beta 60.00
_cell_angle_gamma 60.00
_space_group_name_H-M_alt 'P 1'
_space_group_IT_number 1
loop_
_space_group_symop_operation_xyz
'x,y,z'
loop_
_atom_site_label
_atom_site_type_symbol
_atom_site_fract_x
_atom_site_fract_y
_atom_site_fract_z
_atom_site_occupancy
Gd1 Gd 0.500 0.500 0.500 1
Au1 Au 0.250 0.250 0.250 1
Ag1 Ag 0.750 0.750 0.750 1
Dy1 Dy 0.000 0.000 0.000 1

***

# CoNi2HRh | Alexandria via LeMat-Bulk | PBE | optimized geometry
# Polymorph energy (0 for the lowest one) ... 593 meV per atom
data_CoNi2HRh
_cell_length_a 4.478
_cell_length_b 4.478
_cell_length_c 2.838
_cell_angle_alpha 90.00
_cell_angle_beta 90.00
_cell_angle_gamma 90.00
_space_group_name_H-M_alt 'P 1'
_space_group_IT_number 1
loop_
_space_group_symop_operation_xyz
'x,y,z'
loop_
_atom_site_label
_atom_site_type_symbol
_atom_site_fract_x
_atom_site_fract_y
_atom_site_fract_z
_atom_site_occupancy
Ni1 Ni 0.000 0.500 0.000 1
Ni2 Ni 0.500 0.000 0.000 1
Rh1 Rh 0.500 0.500 0.500 1
H1 H 0.000 0.000 0.500 1
Co1 Co 0.000 0.000 0.000 1

***

# DyY2PuN4 | Alexandria via LeMat-Bulk | PBE | optimized geometry
# Raw formation energy ... -1.58 eV/atom
data_DyY2PuN4
_cell_length_a 3.482
_cell_length_b 6.004
_cell_length_c 6.005
_cell_angle_alpha 109.38
_cell_angle_beta 90.00
_cell_angle_gamma 90.00
_space_group_name_H-M_alt 'P 1'
_space_group_IT_number 1
loop_
_space_group_symop_operation_xyz
'x,y,z'
loop_
_atom_site_label
_atom_site_type_symbol
_atom_site_fract_x
_atom_site_fract_y
_atom_site_fract_z
_atom_site_occupancy
Dy1 Dy 0.500 0.500 0.000 1
Y1 Y 0.500 0.000 0.500 1
Y2 Y 0.000 0.500 0.500 1
Pu1 Pu 0.000 0.000 0.000 1
N1 N 0.500 0.244 0.243 1
N2 N 0.500 0.756 0.757 1
N3 N 0.000 0.247 0.755 1
N4 N 0.000 0.753 0.245 1

***

# ZnOsPt2 | Alexandria via LeMat-Bulk | PBE | optimized geometry
# E_form ... -30 meV/atom
data_ZnOsPt2
_cell_length_a 9.093
_cell_length_b 9.093
_cell_length_c 9.093
_cell_angle_alpha 17.54
_cell_angle_beta 17.54
_cell_angle_gamma 17.54
_space_group_name_H-M_alt 'P 1'
_space_group_IT_number 1
loop_
_space_group_symop_operation_xyz
'x,y,z'
loop_
_atom_site_label
_atom_site_type_symbol
_atom_site_fract_x
_atom_site_fract_y
_atom_site_fract_z
_atom_site_occupancy
Os1 Os 0.752 0.752 0.752 1
Pt1 Pt 0.002 0.002 0.002 1
Pt2 Pt 0.246 0.246 0.246 1
Zn1 Zn 0.500 0.500 0.500 1

***

# Tb2NpZn2Rh5 | Alexandria via LeMat-Bulk | PBE | optimized geometry
# E_form ... -612 meV/atom
data_Tb2NpZn2Rh5
_cell_length_a 3.686
_cell_length_b 9.806
_cell_length_c 9.806
_cell_angle_alpha 90.00
_cell_angle_beta 90.00
_cell_angle_gamma 90.00
_space_group_name_H-M_alt 'P 1'
_space_group_IT_number 1
loop_
_space_group_symop_operation_xyz
'x,y,z'
loop_
_atom_site_label
_atom_site_type_symbol
_atom_site_fract_x
_atom_site_fract_y
_atom_site_fract_z
_atom_site_occupancy
Tb1 Tb 0.000 0.669 0.169 1
Tb2 Tb 0.000 0.331 0.831 1
Tb3 Tb 0.000 0.169 0.331 1
Tb4 Tb 0.000 0.831 0.669 1
Np1 Np 0.000 0.000 0.000 1
Np2 Np 0.000 0.500 0.500 1
Zn1 Zn 0.000 0.126 0.626 1
Zn2 Zn 0.000 0.874 0.374 1
Zn3 Zn 0.000 0.626 0.874 1
Zn4 Zn 0.000 0.374 0.126 1
Rh1 Rh 0.500 0.202 0.069 1
Rh2 Rh 0.500 0.798 0.931 1
Rh3 Rh 0.500 0.069 0.798 1
Rh4 Rh 0.500 0.702 0.431 1
Rh5 Rh 0.500 0.931 0.202 1
Rh6 Rh 0.500 0.298 0.569 1
Rh7 Rh 0.500 0.569 0.702 1
Rh8 Rh 0.500 0.431 0.298 1
Rh9 Rh 0.500 0.500 0.000 1
Rh10 Rh 0.500 0.000 0.500 1

***

# YAsPBr2 | Alexandria via LeMat-Bulk | PBE | optimized geometry
# Polymorph energy (0 for the lowest one) ... 34 meV per atom
# Raw formation energy ... -0.09 eV/atom
data_YAsPBr2
_cell_length_a 4.871
_cell_length_b 4.871
_cell_length_c 5.327
_cell_angle_alpha 90.00
_cell_angle_beta 90.00
_cell_angle_gamma 90.00
_space_group_name_H-M_alt 'P 1'
_space_group_IT_number 1
loop_
_space_group_symop_operation_xyz
'x,y,z'
loop_
_atom_site_label
_atom_site_type_symbol
_atom_site_fract_x
_atom_site_fract_y
_atom_site_fract_z
_atom_site_occupancy
Y1 Y 0.500 0.500 0.500 1
P1 P 0.000 0.000 0.000 1
As1 As 0.000 0.000 0.500 1
Br1 Br 0.000 0.500 0.000 1
Br2 Br 0.500 0.000 0.000 1

***

# MgB12C2 | Alexandria via LeMat-Bulk | PBE | optimized geometry
# E_form ... -170 meV/atom
data_MgB12C2
_cell_length_a 6.909
_cell_length_b 6.909
_cell_length_c 6.909
_cell_angle_alpha 132.04
_cell_angle_beta 109.91
_cell_angle_gamma 89.41
_space_group_name_H-M_alt 'P 1'
_space_group_IT_number 1
loop_
_space_group_symop_operation_xyz
'x,y,z'
loop_
_atom_site_label
_atom_site_type_symbol
_atom_site_fract_x
_atom_site_fract_y
_atom_site_fract_z
_atom_site_occupancy
Mg1 Mg 0.390 0.750 0.640 1
Mg2 Mg 0.610 0.250 0.360 1
B1 B 0.637 0.846 0.313 1
B2 B 0.225 0.406 0.818 1
B3 B 0.776 0.775 0.678 1
B4 B 0.033 0.824 0.687 1
B5 B 0.363 0.676 0.209 1
B6 B 0.967 0.176 0.313 1
B7 B 0.404 0.402 0.678 1
B8 B 0.775 0.594 0.182 1
B9 B 0.363 0.154 0.687 1
B10 B 0.354 0.333 0.020 1
B11 B 0.596 0.598 0.322 1
B12 B 0.813 0.833 0.980 1
B13 B 0.967 0.654 0.791 1
B14 B 0.088 0.906 0.182 1
B15 B 0.596 0.275 0.999 1
B16 B 0.637 0.324 0.791 1
B17 B 0.404 0.725 0.001 1
B18 B 0.776 0.098 0.001 1
B19 B 0.224 0.902 0.999 1
B20 B 0.912 0.094 0.818 1
B21 B 0.646 0.667 0.980 1
B22 B 0.224 0.225 0.322 1
B23 B 0.187 0.167 0.020 1
B24 B 0.033 0.346 0.209 1
C1 C 0.967 0.337 0.629 1
C2 C 0.208 0.837 0.371 1
C3 C 0.792 0.163 0.629 1
C4 C 0.033 0.663 0.371 1

***

# MgReAs | Alexandria via LeMat-Bulk | PBE | optimized geometry
# Polymorph energy (0 for the lowest one) ... 216 meV per atom
# E_form ... 177 meV/atom
data_MgReAs
_cell_length_a 4.201
_cell_length_b 4.201
_cell_length_c 3.431
_cell_angle_alpha 90.00
_cell_angle_beta 90.00
_cell_angle_gamma 120.00
_space_group_name_H-M_alt 'P 1'
_space_group_IT_number 1
loop_
_space_group_symop_operation_xyz
'x,y,z'
loop_
_atom_site_label
_atom_site_type_symbol
_atom_site_fract_x
_atom_site_fract_y
_atom_site_fract_z
_atom_site_occupancy
As1 As 0.000 0.000 0.834 1
Mg1 Mg 0.333 0.667 0.333 1
Re1 Re 0.667 0.333 0.834 1

***

# TmAl2Cu4Si | Alexandria via LeMat-Bulk | PBE | optimized geometry
# Raw formation energy ... -0.21 eV/atom
data_TmAl2Cu4Si
_cell_length_a 4.107
_cell_length_b 4.107
_cell_length_c 8.727
_cell_angle_alpha 76.39
_cell_angle_beta 76.39
_cell_angle_gamma 60.00
_space_group_name_H-M_alt 'P 1'
_space_group_IT_number 1
loop_
_space_group_symop_operation_xyz
'x,y,z'
loop_
_atom_site_label
_atom_site_type_symbol
_atom_site_fract_x
_atom_site_fract_y
_atom_site_fract_z
_atom_site_occupancy
Tm1 Tm 0.000 0.000 0.000 1
Al1 Al 0.751 0.751 0.746 1
Al2 Al 0.249 0.249 0.254 1
Cu1 Cu 0.405 0.405 0.785 1
Cu2 Cu 0.870 0.870 0.389 1
Cu3 Cu 0.130 0.130 0.611 1
Cu4 Cu 0.595 0.595 0.215 1
Si1 Si 0.500 0.500 0.500 1

***

# CaMgRh2 | Alexandria via LeMat-Bulk | PBE | optimized geometry
# E_form ... -314 meV/atom
data_CaMgRh2
_cell_length_a 4.582
_cell_length_b 4.581
_cell_length_c 3.334
_cell_angle_alpha 90.00
_cell_angle_beta 90.00
_cell_angle_gamma 90.00
_space_group_name_H-M_alt 'P 1'
_space_group_IT_number 1
loop_
_space_group_symop_operation_xyz
'x,y,z'
loop_
_atom_site_label
_atom_site_type_symbol
_atom_site_fract_x
_atom_site_fract_y
_atom_site_fract_z
_atom_site_occupancy
Ca1 Ca 0.500 0.000 0.500 1
Mg1 Mg 0.000 0.500 0.500 1
Rh1 Rh 0.000 0.000 0.000 1
Rh2 Rh 0.500 0.500 0.000 1

***

no.,DOS at the Fermi energy (states/eV/f.u.)
1,1.410
2,8.877
3,4.066
4,9.126
5,3.217
6,2.088
7,2.811
8,3.029
9,1.113
10,5.692
11,3.022
12,7.263
13,7.010
14,4.769
15,12.420
16,1.016
17,0.000
18,2.016
19,2.378
20,2.698